AgIrPt2: relaxed, PBE-GGA.

Output
The calculation puts the distance to the lowest polymorph of the same formula at 150 meV per atom. Its symmetry is No. 44.

Structure (extended XYZ):
```
4
Lattice="5.606 0.003 0.006 2.864 4.819 -0.006 -3.542 -3.627 2.391" Properties=species:S:1:pos:R:3 pbc="T T T"
Pt 0.048 0.027 0.000
Ag 4.204 2.393 0.000
Pt 3.245 -0.553 1.199
Ir 1.666 1.737 1.192
```



AgIrPt: relaxed, PBE-GGA.

Output
The calculation puts the distance to the lowest polymorph of the same formula at 311 meV per atom. Its symmetry is No. 44.

Structure (extended XYZ):
```
3
Lattice="4.962 0.004 -0.006 2.585 4.236 0.006 -3.354 -2.867 2.271" Properties=species:S:1:pos:R:3 pbc="T T T"
Ir 2.456 1.380 0.000
Pt 5.097 2.863 0.000
Ag 7.542 4.237 0.000
```



Ag2IrPt: relaxed, PBE-GGA.

Output
The calculation puts the distance to the lowest polymorph of the same formula at 173 meV per atom. Its symmetry is No. 65.

Structure (extended XYZ):
```
4
Lattice="5.162 -0.014 0.000 -2.167 4.686 0.000 0.000 0.000 2.709" Properties=species:S:1:pos:R:3 pbc="T T T"
Ag 1.498 2.336 0.000
Ag 0.000 0.000 0.000
Ir 2.581 -0.007 1.355
Pt -1.083 2.343 1.355
```



AgIr3Pt: relaxed, PBE-GGA.

Output
The calculation puts the distance to the lowest polymorph of the same formula at 0 meV per atom. Its symmetry is No. 221.

Structure (extended XYZ):
```
5
Lattice="4.816 0.000 0.000 0.000 4.816 0.000 0.000 0.000 4.816" Properties=species:S:1:pos:R:3 pbc="T T T"
Ir 0.000 2.408 0.000
Ir 2.408 0.000 0.000
Ag 2.408 2.408 2.408
Pt 0.000 0.000 0.000
Ir 0.000 0.000 2.408
```



Number 1: energy of formation 0.79 eV/f.u.. Number 2: energy of formation 0.97 eV/f.u.. Number 3: energy of formation 1.35 eV/f.u.. Number 4: energy of formation 9.93 eV/f.u..